A plane-wave DFT calculation with PBE with a Hubbard U was carried out for an optimized crystal structure of FeCuF2.

Calculated values
The calculation puts the density of states at the Fermi level at 1.3 states/eV per cell. The relative energy among the computed polymorphs comes out at 0 meV/atom. The value obtained for the magnetic moment is 3.91 Bohr magnetons per cell.

Unit cell a=8.5393 b=8.5393 c=8.5393 alpha=19.56 beta=19.56 gamma=19.56
Fractional coordinates of all 4 atoms:
Cu1 0.0000 0.0000 0.0000
F1 0.1185 0.1185 0.1185
F2 0.8815 0.8815 0.8815
Fe1 0.5000 0.5000 0.5000